GGA-PBEsol Er3Al5O12, relaxed; DOS at the Fermi energy = 0.000 states/eV/f.u.; total moment = 0.00 μB per formula unit
1.0
-5.9615 5.9615 5.9615
5.9615 -5.9615 5.9615
5.9615 5.9615 -5.9615
Er Al O
12 20 48
Cartesian
2.9808 1.4904 0.0000
5.9615 2.9808 -1.4904
1.4904 0.0000 2.9808
7.4519 0.0000 2.9808
0.0000 2.9808 1.4904
2.9808 -1.4904 5.9615
2.9808 7.4519 0.0000
5.9615 2.9808 4.4711
-1.4904 5.9615 2.9808
4.4711 5.9615 2.9808
0.0000 2.9808 7.4519
2.9808 4.4711 5.9615
0.0000 0.0000 0.0000
2.9808 2.9808 -2.9808
2.9808 -2.9808 2.9808
5.9615 0.0000 0.0000
8.9423 1.4904 0.0000
5.9615 -2.9808 4.4711
4.4711 5.9615 -2.9808
4.4711 0.0000 2.9808
2.9808 4.4711 0.0000
5.9615 2.9808 1.4904
-2.9808 2.9808 2.9808
0.0000 5.9615 0.0000
0.0000 0.0000 5.9615
2.9808 2.9808 2.9808
0.0000 2.9808 4.4711
2.9808 1.4904 5.9615
1.4904 5.9615 2.9808
1.4904 0.0000 8.9423
0.0000 8.9423 1.4904
-2.9808 4.4711 5.9615
1.7800 -0.3531 0.6274
7.1623 3.6081 -3.3339
7.7415 0.3531 0.6274
7.1623 -2.3534 3.3339
5.6084 -0.6274 1.7800
9.2954 -1.2008 2.3534
0.6274 1.7800 -0.3531
8.3149 2.6276 -1.2008
3.6081 3.3339 -1.2008
5.3342 1.7800 0.3531
-0.3531 0.6274 1.7800
3.3339 -1.2008 3.6081
5.6084 5.3342 -1.7800
3.3339 1.2008 2.3534
3.6081 -3.3339 7.1623
5.3342 -1.7800 5.6084
2.3534 3.3339 1.2008
6.5889 4.1816 0.3531
3.3339 7.1623 -2.3534
5.6084 0.6274 4.1816
1.7800 5.6084 -0.6274
7.1623 2.3534 2.6276
1.2008 2.3534 3.3339
1.7800 0.3531 5.3342
4.1816 5.6084 0.6274
4.7607 3.6081 2.6276
-1.2008 3.6081 3.3339
4.1816 0.3531 6.5889
0.3531 5.3342 1.7800
2.6276 -1.2008 8.3149
-0.6274 1.7800 5.6084
3.6081 2.6276 4.7607
0.6274 7.7415 0.3531
2.3534 9.2954 -1.2008
2.6276 4.7607 3.6081
0.3531 0.6274 7.7415
2.6276 7.1623 2.3534
6.3147 5.3342 4.1816
0.6274 4.1816 5.6084
2.3534 2.6276 7.1623
-2.3534 3.3339 7.1623
5.3342 4.1816 6.3147
-3.3339 7.1623 3.6081
0.3531 6.5889 4.1816
-1.2008 8.3149 2.6276
-1.7800 5.6084 5.3342
-1.2008 2.3534 9.2954
4.1816 6.3147 5.3342

=====

GGA-PBEsol ErAlO3, relaxed; DOS at the Fermi energy = 0.000 states/eV/f.u.; total moment = 0.00 μB per formula unit
1.0
3.4088 0.0000 0.0000
-1.7044 2.9521 0.0000
0.0000 0.0000 11.3514
Er Al O
2 2 6
Cartesian
0.0000 0.0000 0.0000
0.0000 0.0000 5.6757
0.0000 1.9681 2.8379
1.7044 0.9840 8.5136
0.0000 0.0000 2.8379
0.0000 0.0000 8.5136
0.0000 1.9681 1.0250
0.0000 1.9681 4.6507
1.7044 0.9840 6.7007
1.7044 0.9840 10.3265

=====

Total energy across the listed records, respectively: -660.76; -82.90 eV for the cell shown.